No. 1
Tb2ScS2O2 PBE-GGA optimized geometry; volume = 16.73 Å³/atom; formation energy (no corrections) = -246 kJ/mol of atoms; magnetic moment = 0.000 μB/cell; calculated total energy = -7.376 eV/atom; SG = I4/mmm (139)
1.0
-3.8556 -0.0458 -1.1698
-1.1521 -0.5659 3.8195
2.1319 7.4479 -0.3788
S O Tb Sc
2 2 2 1
direct
0.8219 0.8219 0.6438
0.1781 0.1781 0.3562
0.0000 0.5000 0.0000
0.5000 0.0000 0.0000
0.3705 0.3705 0.7409
0.6295 0.6295 0.2591
0.0000 0.0000 0.0000

***

No. 2
NaBi2AsBr PBE-GGA optimized geometry; volume = 31.91 Å³/atom; formation energy (no corrections) = 66 kJ/mol of atoms; magnetic moment = 0.000 μB/cell; calculated total energy = -2.399 eV/atom; SG = P4/mmm (123)
1.0
-2.0411 4.1561 -3.2599
-4.6418 -1.4159 1.1012
-0.0078 3.4924 4.4575
As Bi Na Br
1 2 1 1
direct
0.0000 0.5000 0.0000
0.5000 0.0000 0.0000
0.0000 0.0000 0.5000
0.0000 0.0000 0.0000
0.5000 0.5000 0.5000

***

No. 3
ScMoPtN2 PBE-GGA optimized geometry; volume = 16.29 Å³/atom; formation energy (no corrections) = 144 kJ/mol of atoms; magnetic moment = 2.236 μB/cell; calculated total energy = -6.480 eV/atom; SG = P4/mmm (123)
1.0
-1.3910 -2.4896 -2.6298
4.7995 -2.4964 -0.1753
-1.1322 -2.3769 2.8491
Mo Pt N Sc
1 1 2 1
direct
0.0000 0.5000 0.0000
0.0000 0.0000 0.0000
0.5000 0.0000 0.0000
0.0000 0.0000 0.5000
0.5000 0.5000 0.5000

***

No. 4
MgTeRhO6 PBE-GGA optimized geometry; volume = 11.65 Å³/atom; formation energy (no corrections) = -123 kJ/mol of atoms; magnetic moment = 2.025 μB/cell; calculated total energy = -5.926 eV/atom; SG = P-31c (163)
1.0
5.1725 0.0000 0.0000
-2.5863 4.4795 0.0000
0.0000 0.0000 9.0510
O Rh Mg Te
12 2 2 2
direct
0.9939 0.6477 0.3674
0.3523 0.0061 0.1326
0.9939 0.3462 0.1326
0.6477 0.6538 0.6326
0.3462 0.9939 0.6326
0.0061 0.3523 0.6326
0.3462 0.3523 0.8674
0.0061 0.6538 0.8674
0.3523 0.3462 0.3674
0.6538 0.0061 0.3674
0.6477 0.9939 0.8674
0.6538 0.6477 0.1326
0.6667 0.3333 0.7500
0.3333 0.6667 0.2500
0.0000 0.0000 0.0000
0.0000 0.0000 0.5000
0.6667 0.3333 0.2500
0.3333 0.6667 0.7500

***

No. 5
SrTbF4 PBE-GGA optimized geometry; volume = 19.61 Å³/atom; formation energy (no corrections) = -344 kJ/mol of atoms; magnetic moment = 0.000 μB/cell; calculated total energy = -5.865 eV/atom; SG = I4_1md (109)
1.0
6.7281 0.3910 0.0000
-2.3591 6.3130 0.0000
-2.1845 -3.3520 5.4233
F Tb Sr
8 2 2
direct
0.7058 0.0012 0.2954
0.2878 0.6059 0.3181
0.7512 0.9558 0.7954
0.2878 0.9697 0.6819
0.7197 0.5378 0.1819
0.1604 0.9558 0.2046
0.3559 0.5378 0.8181
0.7058 0.4104 0.7046
0.7519 0.7519 0.0000
0.5019 0.0019 0.5000
0.0108 0.5108 0.5000
0.2608 0.2608 0.0000

***

No. 6
Ca3GaP3 PBE-GGA optimized geometry; volume = 22.99 Å³/atom; magnetic moment = 0.000 μB/cell; calculated total energy = -4.619 eV/atom; SG = Pnma (62)
1.0
4.0839 0.0000 0.0000
0.0000 12.0241 0.0000
0.0000 0.0000 13.1112
P Ca Ga
12 12 4
direct
0.7500 0.4571 0.6489
0.2500 0.5429 0.3511
0.7500 0.8993 0.3845
0.2500 0.6007 0.8845
0.7500 0.9571 0.8511
0.2500 0.2442 0.8748
0.2500 0.0429 0.1489
0.2500 0.1007 0.6155
0.7500 0.3993 0.1155
0.7500 0.2558 0.3748
0.2500 0.7442 0.6252
0.7500 0.7558 0.1252
0.2500 0.2737 0.2112
0.2500 0.3549 0.4983
0.2500 0.0685 0.3933
0.2500 0.8549 0.0017
0.2500 0.5685 0.1067
0.7500 0.1451 0.9983
0.7500 0.4315 0.8933
0.7500 0.6451 0.5017
0.7500 0.7263 0.7888
0.7500 0.2263 0.7112
0.2500 0.7737 0.2888
0.7500 0.9315 0.6067
0.2500 0.0589 0.7977
0.7500 0.9411 0.2023
0.2500 0.5589 0.7023
0.7500 0.4411 0.2977

***

No. 7
AlTl2As PBE-GGA optimized geometry; volume = 27.15 Å³/atom; magnetic moment = 0.000 μB/cell; calculated total energy = -3.334 eV/atom; SG = Cm (8)
1.0
-1.4670 -1.6314 3.2975
-2.7269 -2.8619 -0.2467
4.4812 -6.9169 0.8087
Tl Al As
2 1 1
direct
0.0105 0.0105 0.9652
0.2385 0.2385 0.2912
0.4785 0.4785 0.5592
0.7725 0.7725 0.6844

***

No. 8
YAg PBE-GGA optimized geometry; volume = 24.49 Å³/atom; magnetic moment = 0.000 μB/cell; calculated total energy = -4.476 eV/atom; SG = P6_3/mmc (194)
1.0
1.3549 4.5101 -2.2351
-4.3424 -2.4565 -1.5106
-4.3535 4.1585 5.7522
Ag Y
4 4
direct
0.6667 0.3333 0.0867
0.3333 0.6667 0.5867
0.6667 0.3333 0.4133
0.3333 0.6667 0.9133
0.0000 0.0000 0.7500
0.3333 0.6667 0.2500
0.6667 0.3333 0.7500
0.0000 0.0000 0.2500